# Li2Ca5

An optimized crystal structure of Li2Ca5 (PBE-GGA, Alexandria via LeMat-Bulk).

For the density of states at the Fermi level, the calculation gives 12.726 states/eV/cell. The formation energy comes out at 0.051 eV per atom. The final energy comes out at -1.926 eV/atom. For the total moment, the calculation gives 0.0 μB/cell. The theoretical density comes out at 1.39 g/cm³. For the energy above the most stable polymorph in this dataset, the calculation gives 41 meV per atom.

It has space group P-1 (No. 2), with a = 6.4878 Å, b = 9.0997 Å, c = 9.3677 Å, α = 82.38°, β = 89.92° and γ = 69.31°. The asymmetric unit holds Li at (0.0834, 0.1852, 0.4167), Li at (0.2685, 0.8148, 0.0833), Ca at (0.0866, 0.5604, 0.3177), Ca at (0.1865, 0.9999, 0.7501), Ca at (0.2313, 0.2170, 0.0664), Ca at (0.3531, 0.5604, 0.8179) and Ca at (0.4482, 0.7831, 0.4336).



# CrPb4Se

An optimized crystal structure of CrPb4Se (PBE-GGA, Alexandria via LeMat-Bulk).

For the density of states at the Fermi level, the calculation gives 24.211 states/eV/cell. The calculation puts the formation energy from raw total energies at 53.1 kJ per mole of atoms. The final energy comes out at -4.106 eV/atom. For the total moment, the calculation gives 17.5 μB/cell. The theoretical density comes out at 8.72 g/cm³.

It has space group F-43m (No. 216), with a = 9.0077 Å, b = 9.0077 Å, c = 9.0077 Å, α = 90.00°, β = 90.00° and γ = 90.00°. The asymmetric unit holds Cr at (0.0000, 0.0000, 0.0000), Pb at (0.1254, 0.1254, 0.6254) and Se at (0.2500, 0.2500, 0.2500).